Entry 1:
A plane-wave DFT calculation with meta-GGA SCAN was carried out for CaH2I2O7 at its PBEsol-relaxed geometry.

Cell: 8.2665 9.7976 7.5074 Å, 90.00 94.16 90.00°
Last column: nearest neighbours and their distance in Å.
Fractional positions:
Ca (0.2120, 0.0100, 0.1565)  6 O 2.28-2.48
Ca (0.2120, 0.4900, 0.6565)  6 O 2.28-2.48
Ca (0.7880, 0.5100, 0.3435)  6 O 2.28-2.48
Ca (0.7880, 0.9900, 0.8435)  6 O 2.28-2.48
H (0.2188, 0.0851, 0.7807)  1 O 0.99
H (0.2188, 0.4149, 0.2807)  1 O 0.99
H (0.3826, 0.5026, 0.3273)  1 O 1.00
H (0.3826, 0.9974, 0.8273)  1 O 1.00
H (0.6174, 0.0026, 0.1727)  1 O 1.00
H (0.6174, 0.4974, 0.6727)  1 O 1.00
H (0.7812, 0.5851, 0.7193)  1 O 0.99
H (0.7812, 0.9149, 0.2193)  1 O 0.99
I (0.0312, 0.6832, 0.0451)  3 O 1.81-1.85
I (0.0312, 0.8168, 0.5451)  3 O 1.81-1.85
I (0.4925, 0.6836, 0.0533)  3 O 1.81-1.84
I (0.4925, 0.8164, 0.5533)  3 O 1.81-1.84
I (0.5075, 0.1836, 0.4467)  3 O 1.81-1.84
I (0.5075, 0.3164, 0.9467)  3 O 1.81-1.84
I (0.9688, 0.1832, 0.4549)  3 O 1.81-1.85
I (0.9688, 0.3168, 0.9549)  3 O 1.81-1.85
O (0.0019, 0.0901, 0.6684)  1 I 1.85, 1 H 1.93
O (0.0019, 0.4099, 0.1684)  1 I 1.85, 1 H 1.93
O (0.0262, 0.6430, 0.4536)  1 I 1.84
O (0.0262, 0.8570, 0.9536)  1 I 1.84
O (0.1734, 0.1743, 0.3848)  1 I 1.81
O (0.1734, 0.3257, 0.8848)  1 I 1.81
O (0.3115, 0.0714, 0.8705)  2 H 0.99-1.00
O (0.3115, 0.4286, 0.3705)  2 H 0.99-1.00
O (0.3401, 0.5557, 0.9761)  1 I 1.84
O (0.3401, 0.9443, 0.4761)  1 I 1.84
O (0.3443, 0.6899, 0.6098)  1 I 1.81
O (0.3443, 0.8101, 0.1098)  1 I 1.81
O (0.4678, 0.1219, 0.2159)  1 H 1.75, 1 I 1.84
O (0.4678, 0.3781, 0.7159)  1 H 1.75, 1 I 1.84
O (0.5322, 0.6219, 0.2841)  1 H 1.75, 1 I 1.84
O (0.5322, 0.8781, 0.7841)  1 H 1.75, 1 I 1.84
O (0.6557, 0.1899, 0.8902)  1 I 1.81
O (0.6557, 0.3101, 0.3902)  1 I 1.81
O (0.6599, 0.0557, 0.5239)  1 I 1.84
O (0.6599, 0.4443, 0.0239)  1 I 1.84
O (0.6885, 0.5714, 0.6295)  2 H 0.99-1.00
O (0.6885, 0.9286, 0.1295)  2 H 0.99-1.00
O (0.8266, 0.6743, 0.1152)  1 I 1.81
O (0.8266, 0.8257, 0.6152)  1 I 1.81
O (0.9738, 0.1430, 0.0464)  1 I 1.84
O (0.9738, 0.3570, 0.5464)  1 I 1.84
O (0.9981, 0.5901, 0.8316)  1 I 1.85, 1 H 1.93
O (0.9981, 0.9099, 0.3316)  1 I 1.85, 1 H 1.93

As for the space-group type: P2_1/c. Its energy is -589.6 eV for the cell shown.

Entry 2:
A plane-wave DFT calculation with meta-GGA SCAN was carried out for CaH12I2O14 at its PBEsol-relaxed geometry.

Cell: 10.3641 10.3641 11.2725 Å, 119.60 119.60 30.53°
Last column: nearest neighbours and their distance in Å.
Fractional positions:
Ca (0.0594, 0.9406, 0.7500)  8 O 2.39-2.60
Ca (0.9406, 0.0594, 0.2500)  8 O 2.39-2.60
H (0.0231, 0.6342, 0.0076)  1 O 1.02
H (0.1163, 0.7153, 0.3501)  1 O 1.01
H (0.1409, 0.3390, 0.8029)  1 O 1.06
H (0.1437, 0.6262, 0.8332)  1 O 0.98
H (0.2252, 0.7170, 0.9699)  1 O 1.02
H (0.2830, 0.7748, 0.5301)  1 O 1.02
H (0.2847, 0.8837, 0.1499)  1 O 1.01
H (0.3390, 0.1409, 0.3029)  1 O 1.06
H (0.3658, 0.9769, 0.4924)  1 O 1.02
H (0.3738, 0.8563, 0.6668)  1 O 0.98
H (0.3946, 0.5299, 0.3489)  1 O 1.01
H (0.4701, 0.6054, 0.1511)  1 O 1.01
H (0.5299, 0.3946, 0.8489)  1 O 1.01
H (0.6054, 0.4701, 0.6511)  1 O 1.01
H (0.6262, 0.1437, 0.3332)  1 O 0.98
H (0.6342, 0.0231, 0.5076)  1 O 1.02
H (0.6610, 0.8591, 0.6971)  1 O 1.06
H (0.7153, 0.1163, 0.8501)  1 O 1.01
H (0.7170, 0.2252, 0.4699)  1 O 1.02
H (0.7748, 0.2830, 0.0301)  1 O 1.02
H (0.8563, 0.3738, 0.1668)  1 O 0.98
H (0.8591, 0.6610, 0.1971)  1 O 1.06
H (0.8837, 0.2847, 0.6499)  1 O 1.01
H (0.9769, 0.3658, 0.9924)  1 O 1.02
I (0.0796, 0.5622, 0.4774)  5 O 1.79-1.97
I (0.4378, 0.9204, 0.0226)  5 O 1.79-1.97
I (0.5622, 0.0796, 0.9774)  5 O 1.79-1.97
I (0.9204, 0.4378, 0.5226)  5 O 1.79-1.97
O (0.0299, 0.3147, 0.6689)  1 H 1.44
O (0.0935, 0.1951, 0.9264)  1 H 1.02
O (0.1354, 0.4415, 0.6154)  2 I 1.97-2.03
O (0.1951, 0.0935, 0.4264)  1 H 1.02
O (0.2080, 0.3742, 0.9019)  1 H 1.06
O (0.2091, 0.6723, 0.8653)  2 H 0.98-1.02
O (0.2172, 0.7181, 0.3631)  2 H 1.01
O (0.2819, 0.7828, 0.1369)  2 H 1.01
O (0.2880, 0.5466, 0.5923)  1 I 1.79
O (0.3147, 0.0299, 0.1689)  1 H 1.44
O (0.3277, 0.7909, 0.6347)  2 H 0.98-1.02
O (0.3742, 0.2080, 0.4019)  1 H 1.06
O (0.4415, 0.1354, 0.1154)  2 I 1.97-2.03
O (0.4534, 0.7120, 0.9077)  1 I 1.79
O (0.5466, 0.2880, 0.0923)  1 I 1.79
O (0.5585, 0.8646, 0.8846)  2 I 1.97-2.03
O (0.6258, 0.7920, 0.5981)  1 H 1.06
O (0.6723, 0.2091, 0.3653)  2 H 0.98-1.02
O (0.6853, 0.9701, 0.8311)  1 H 1.44
O (0.7120, 0.4534, 0.4077)  1 I 1.79
O (0.7181, 0.2172, 0.8631)  2 H 1.01
O (0.7828, 0.2819, 0.6369)  2 H 1.01
O (0.7909, 0.3277, 0.1347)  2 H 0.98-1.02
O (0.7920, 0.6258, 0.0981)  1 H 1.06
O (0.8049, 0.9065, 0.5736)  1 H 1.02
O (0.8646, 0.5585, 0.3846)  2 I 1.97-2.03
O (0.9065, 0.8049, 0.0736)  1 H 1.02
O (0.9701, 0.6853, 0.3311)  1 H 1.44

As for the space-group type: C2/c. Its energy is -480.4 eV for the cell shown.

Entry 3:
A plane-wave DFT calculation with meta-GGA SCAN was carried out for CaTeHI2 at its PBEsol-relaxed geometry.

Cell: 6.0186 6.0186 6.1387 Å, 90.00 90.00 90.00°
Last column: nearest neighbours and their distance in Å.
Fractional positions:
Ca (0.0000, 0.0000, 0.0000)  4 I 3.01, 2 Te 3.07
Te (0.0000, 0.0000, 0.5000)  2 Ca 3.07
H (0.5000, 0.5000, 0.5000)  4 Te 4.26, 8 I 4.30
I (0.0000, 0.5000, 0.0000)  2 Ca 3.01
I (0.5000, 0.0000, 0.0000)  2 Ca 3.01

As for the space-group type: P4/mmm. Its energy is -124.3 eV for the cell shown.